Record 1
## TlSiPt3 (PBE-GGA)

Data for an optimized crystal structure of TlSiPt3.

Computed properties:
Space group: Pm-3m (221)
V: 25.454 A^3/atom
M_tot: 0.0 μB/cell
Formation energy (no corrections): 1.479 eV per atom
ΔE to the lowest computed polymorph: 1364 meV per atom

Cell lengths 5.0301, 5.0301, 5.0301 Å; angles 90.00, 90.00, 90.00 degrees
With the nearest neighbours (Å) after each atom.
Atoms (fractional coordinates):
Tl (0.0000, 0.0000, 0.0000)  6 Pt 2.52
Si (0.5000, 0.5000, 0.5000)  12 Pt 3.56
Pt (0.0000, 0.5000, 0.0000)  2 Tl 2.52
Pt (0.0000, 0.0000, 0.5000)  2 Tl 2.52
Pt (0.5000, 0.0000, 0.0000)  2 Tl 2.52

Record 2
## TlSi2Pt (PBE-GGA)

Data for an optimized crystal structure of TlSi2Pt.

Computed properties:
Space group: P2/m (10)
V: 21.477 A^3/atom
M_tot: 0.0 μB/cell
Formation energy (no corrections): -0.029 eV per atom
ΔE to the lowest computed polymorph: 137 meV per atom

Cell lengths 4.1304, 4.6441, 4.5884 Å; angles 77.44, 90.00, 90.00 degrees
With the nearest neighbours (Å) after each atom.
Atoms (fractional coordinates):
Pt (0.5000, 0.7500, 0.7500)  4 Si 2.42
Si (0.0000, 0.9907, 0.8388)  2 Si 2.37-2.54, 2 Pt 2.42
Si (0.0000, 0.5093, 0.6612)  2 Si 2.37-2.54, 2 Pt 2.42
Tl (0.5000, 0.2500, 0.2500)  2 Pt 2.89, 4 Si 3.20

Record 3
## TlSi2Pt (PBE-GGA)

Data for an optimized crystal structure of TlSi2Pt.

Computed properties:
Space group: P4/mmm (123)
V: 19.498 A^3/atom
M_tot: 0.0 μB/cell
Formation energy (no corrections): 0.052 eV per atom
ΔE to the lowest computed polymorph: 217 meV per atom

Cell lengths 3.1623, 3.1623, 7.7991 Å; angles 90.00, 90.00, 90.00 degrees
With the nearest neighbours (Å) after each atom.
Atoms (fractional coordinates):
Pt (0.5000, 0.5000, 0.7500)  8 Si 2.64
Si (0.0000, 0.0000, 0.9294)  4 Pt 2.64, 1 Si 2.80
Si (0.0000, 0.0000, 0.5706)  4 Pt 2.64, 1 Si 2.80
Tl (0.5000, 0.5000, 0.2500)  4 Tl 3.16, 8 Si 3.35

Number 3 is which compound? TlSi2Pt

Number 3 is which compound? TlSi2Pt